Computed, not measured: a relaxed structure of PrDyPu4 at the PBE level of DFT.

Summary:
- energy of formation from the pure elements (eV/atom) = 0.242
- SG = F-43m

Cell: 6.211 6.211 6.211 Å, 60.00 60.00 60.00°
Fractional positions:
Pr 0.000 0.000 0.000
Dy 0.750 0.750 0.750
Pu 0.375 0.375 0.375
Pu 0.375 0.375 0.874
Pu 0.375 0.874 0.375
Pu 0.874 0.375 0.375

=====

Computed, not measured: a relaxed structure of PrDyPu2 at the PBE level of DFT.

Summary:
- energy of formation from the pure elements (eV/atom) = 0.216
- SG = P4/mmm

Cell: 4.884 4.884 5.063 Å, 90.00 90.00 90.00°
Fractional positions:
Pr 0.000 0.000 0.000
Dy 0.500 0.500 0.000
Pu 0.000 0.500 0.500
Pu 0.500 0.000 0.500

=====

Computed, not measured: a relaxed structure of PrDy14Pu at the PBE level of DFT.

Summary:
- energy of formation from the pure elements (eV/atom) = 0.034
- SG = Amm2

Cell: 11.287 7.219 7.219 Å, 60.09 90.00 90.00°
Fractional positions:
Pr 0.000 0.000 0.000
Dy 0.000 0.500 0.999
Dy 0.000 0.999 0.500
Dy 0.248 0.335 0.335
Dy 0.250 0.335 0.829
Dy 0.250 0.829 0.335
Dy 0.254 0.833 0.833
Dy 0.500 0.000 0.000
Dy 0.500 0.000 0.500
Dy 0.500 0.500 0.000
Dy 0.500 0.500 0.500
Dy 0.746 0.833 0.833
Dy 0.750 0.335 0.829
Dy 0.750 0.829 0.335
Dy 0.752 0.335 0.335
Pu 0.000 0.501 0.501

=====

Computed, not measured: a relaxed structure of Pr8Dy3Pu at the PBE level of DFT.

Summary:
- energy of formation from the pure elements (eV/atom) = 0.135
- SG = C2/m

Cell: 6.990 6.990 9.912 Å, 97.14 97.14 118.99°
Fractional positions:
Pr 0.172 0.693 0.665
Pr 0.182 0.182 0.160
Pr 0.307 0.828 0.335
Pr 0.321 0.321 0.824
Pr 0.679 0.679 0.176
Pr 0.693 0.172 0.665
Pr 0.818 0.818 0.840
Pr 0.828 0.307 0.335
Dy 0.000 0.500 0.000
Dy 0.500 0.000 0.000
Dy 0.500 0.500 0.500
Pu 0.000 0.000 0.500

=====

Computed, not measured: a relaxed structure of Pr2DyPu at the PBE level of DFT.

Summary:
- energy of formation from the pure elements (eV/atom) = 0.267
- SG = R-3m

Cell: 3.523 3.523 37.557 Å, 90.00 90.00 120.00°
Fractional positions:
Pr 0.000 0.000 0.088
Pr 0.000 0.000 0.912
Pr 0.333 0.667 0.579
Pr 0.333 0.667 0.755
Pr 0.667 0.333 0.245
Pr 0.667 0.333 0.421
Dy 0.000 0.000 0.500
Dy 0.333 0.667 0.167
Dy 0.667 0.333 0.833
Pu 0.000 0.000 0.000
Pu 0.333 0.667 0.667
Pu 0.667 0.333 0.333

=====

Computed, not measured: a relaxed structure of Pr6Dy2Pu at the PBE level of DFT.

Summary:
- energy of formation from the pure elements (eV/atom) = 0.119
- SG = C2/c

Cell: 11.172 11.172 6.705 Å, 107.42 107.42 50.95°
Fractional positions:
Pr 0.155 0.788 0.972
Pr 0.169 0.169 0.419
Pr 0.169 0.169 0.919
Pr 0.199 0.525 0.362
Pr 0.212 0.845 0.528
Pr 0.475 0.801 0.138
Pr 0.525 0.199 0.862
Pr 0.788 0.155 0.472
Pr 0.801 0.475 0.638
Pr 0.831 0.831 0.081
Pr 0.831 0.831 0.581
Pr 0.845 0.212 0.028
Dy 0.128 0.481 0.804
Dy 0.481 0.128 0.304
Dy 0.519 0.872 0.696
Dy 0.872 0.519 0.196
Pu 0.500 0.500 0.250
Pu 0.500 0.500 0.750

=====

Computed, not measured: a relaxed structure of Pr4Dy8Pu at the PBE level of DFT.

Summary:
- energy of formation from the pure elements (eV/atom) = 0.541
- SG = R-3m

Cell: 7.800 7.800 7.800 Å, 90.23 90.23 90.23°
Fractional positions:
Pr 0.000 0.000 0.000
Pr 0.000 0.500 0.500
Pr 0.500 0.000 0.500
Pr 0.500 0.500 0.000
Dy 0.243 0.243 0.243
Dy 0.243 0.243 0.755
Dy 0.243 0.755 0.243
Dy 0.245 0.757 0.757
Dy 0.755 0.243 0.243
Dy 0.757 0.245 0.757
Dy 0.757 0.757 0.245
Dy 0.757 0.757 0.757
Pu 0.500 0.500 0.500

=====

Computed, not measured: a relaxed structure of Pr12Dy6Pu at the PBE level of DFT.

Summary:
- energy of formation from the pure elements (eV/atom) = 0.039
- SG = R-3

Cell: 9.646 9.646 9.646 Å, 110.90 110.90 110.90°
Fractional positions:
Pr 0.058 0.373 0.581
Pr 0.104 0.740 0.155
Pr 0.155 0.104 0.740
Pr 0.260 0.845 0.896
Pr 0.373 0.581 0.058
Pr 0.419 0.942 0.627
Pr 0.581 0.058 0.373
Pr 0.627 0.419 0.942
Pr 0.740 0.155 0.104
Pr 0.845 0.896 0.260
Pr 0.896 0.260 0.845
Pr 0.942 0.627 0.419
Dy 0.213 0.469 0.316
Dy 0.316 0.213 0.469
Dy 0.469 0.316 0.213
Dy 0.531 0.684 0.787
Dy 0.684 0.787 0.531
Dy 0.787 0.531 0.684
Pu 0.000 0.000 0.000

=====

Computed, not measured: a relaxed structure of Pr3Dy6Pu at the PBE level of DFT.

Summary:
- energy of formation from the pure elements (eV/atom) = 0.274
- SG = R3

Cell: 6.914 6.914 6.914 Å, 91.23 91.23 91.23°
Fractional positions:
Pr 0.000 0.000 0.000
Pr 0.252 0.252 0.252
Pr 0.515 0.515 0.515
Dy 0.046 0.405 0.722
Dy 0.212 0.888 0.556
Dy 0.405 0.722 0.046
Dy 0.556 0.212 0.888
Dy 0.722 0.046 0.405
Dy 0.888 0.556 0.212
Pu 0.755 0.755 0.755

=====

Computed, not measured: a relaxed structure of PrDy3Pu2S6 at the PBE level of DFT.

Summary:
- SG = C2/m
- E_tot (eV/atom) = -7.946

Cell: 6.838 6.838 6.884 Å, 99.52 99.52 120.03°
Fractional positions:
Pr 0.000 0.000 0.000
Dy 0.164 0.836 0.500
Dy 0.500 0.500 0.500
Dy 0.836 0.164 0.500
Pu 0.333 0.667 0.000
Pu 0.667 0.333 0.000
S 0.086 0.427 0.259
S 0.255 0.255 0.742
S 0.427 0.086 0.259
S 0.573 0.914 0.741
S 0.745 0.745 0.258
S 0.914 0.573 0.741

=====

Computed, not measured: a relaxed structure of Pr3DyPu2S6 at the PBE level of DFT.

Summary:
- SG = C2/m
- E_tot (eV/atom) = -7.978

Cell: 6.944 6.944 7.009 Å, 99.49 99.49 120.01°
Fractional positions:
Pr 0.000 0.000 0.000
Pr 0.333 0.667 0.000
Pr 0.667 0.333 0.000
Dy 0.500 0.500 0.500
Pu 0.166 0.834 0.500
Pu 0.834 0.166 0.500
S 0.090 0.422 0.265
S 0.247 0.247 0.737
S 0.422 0.090 0.265
S 0.578 0.910 0.735
S 0.753 0.753 0.263
S 0.910 0.578 0.735

=====

Computed, not measured: a relaxed structure of Pr3Dy3PuS8 at the PBE level of DFT.

Summary:
- SG = R-3m
- E_tot (eV/atom) = -7.030

Cell: 8.042 8.042 8.042 Å, 59.29 59.29 59.29°
Fractional positions:
Pr 0.000 0.500 0.500
Pr 0.500 0.000 0.500
Pr 0.500 0.500 0.000
Dy 0.000 0.000 0.500
Dy 0.000 0.500 0.000
Dy 0.500 0.000 0.000
Pu 0.500 0.500 0.500
S 0.240 0.749 0.749
S 0.244 0.244 0.244
S 0.251 0.251 0.760
S 0.251 0.760 0.251
S 0.749 0.240 0.749
S 0.749 0.749 0.240
S 0.756 0.756 0.756
S 0.760 0.251 0.251

=====

Computed, not measured: a relaxed structure of Pr4Dy3PuS8 at the PBE level of DFT.

Summary:
- SG = R-3m
- E_tot (eV/atom) = -7.008

Cell: 8.062 8.062 8.062 Å, 59.40 59.40 59.40°
Fractional positions:
Pr 0.000 0.000 0.000
Pr 0.000 0.500 0.500
Pr 0.500 0.000 0.500
Pr 0.500 0.500 0.000
Dy 0.000 0.000 0.500
Dy 0.000 0.500 0.000
Dy 0.500 0.000 0.000
Pu 0.500 0.500 0.500
S 0.243 0.745 0.745
S 0.244 0.244 0.244
S 0.255 0.255 0.757
S 0.255 0.757 0.255
S 0.745 0.243 0.745
S 0.745 0.745 0.243
S 0.756 0.756 0.756
S 0.757 0.255 0.255

=====

Computed, not measured: a relaxed structure of Pr2DyPuS4 at the PBE level of DFT.

Summary:
- SG = P2/m
- E_tot (eV/atom) = -7.592

Cell: 6.944 3.992 7.004 Å, 90.00 109.09 90.00°
Fractional positions:
Pr 0.000 0.000 0.000
Pr 0.500 0.500 0.000
Dy 0.000 0.500 0.500
Pu 0.500 0.000 0.500
S 0.242 0.000 0.734
S 0.253 0.500 0.265
S 0.747 0.500 0.735
S 0.758 0.000 0.266

=====

Computed, not measured: a relaxed structure of PrDy2PuS4 at the PBE level of DFT.

Summary:
- SG = P2/m
- E_tot (eV/atom) = -7.564

Cell: 6.877 3.947 6.904 Å, 90.00 109.13 90.00°
Fractional positions:
Pr 0.000 0.000 0.000
Dy 0.000 0.500 0.500
Dy 0.500 0.000 0.500
Pu 0.500 0.500 0.000
S 0.252 0.000 0.741
S 0.260 0.500 0.263
S 0.740 0.500 0.737
S 0.748 0.000 0.259

=====

Computed, not measured: a relaxed structure of Pr4DyPu3S8 at the PBE level of DFT.

Summary:
- SG = R-3m
- E_tot (eV/atom) = -8.172

Cell: 8.075 8.075 8.075 Å, 59.54 59.54 59.54°
Fractional positions:
Pr 0.000 0.000 0.000
Pr 0.000 0.500 0.500
Pr 0.500 0.000 0.500
Pr 0.500 0.500 0.000
Dy 0.500 0.500 0.500
Pu 0.000 0.000 0.500
Pu 0.000 0.500 0.000
Pu 0.500 0.000 0.000
S 0.245 0.245 0.245
S 0.247 0.744 0.744
S 0.256 0.256 0.753
S 0.256 0.753 0.256
S 0.744 0.247 0.744
S 0.744 0.744 0.247
S 0.753 0.256 0.256
S 0.755 0.755 0.755

=====

Computed, not measured: a relaxed structure of PrDyPuSc at the PBE level of DFT.

Summary:
- energy of formation from the pure elements (eV/atom) = 0.210
- SG = F-43m

Cell: 7.824 7.824 7.824 Å, 90.00 90.00 90.00°
Fractional positions:
Pr 0.000 0.000 0.000
Pr 0.000 0.500 0.500
Pr 0.500 0.000 0.500
Pr 0.500 0.500 0.000
Dy 0.250 0.250 0.250
Dy 0.250 0.750 0.750
Dy 0.750 0.250 0.750
Dy 0.750 0.750 0.250
Pu 0.000 0.000 0.500
Pu 0.000 0.500 0.000
Pu 0.500 0.000 0.000
Pu 0.500 0.500 0.500
Sc 0.250 0.250 0.750
Sc 0.250 0.750 0.250
Sc 0.750 0.250 0.250
Sc 0.750 0.750 0.750

=====

Computed, not measured: a relaxed structure of PrDy2PuSe4 at the PBE level of DFT.

Summary:
- SG = P2/m
- E_tot (eV/atom) = -7.020

Cell: 7.172 4.113 7.204 Å, 90.00 109.05 90.00°
Fractional positions:
Pr 0.000 0.000 0.000
Dy 0.000 0.500 0.500
Dy 0.500 0.000 0.500
Pu 0.500 0.500 0.000
Se 0.251 0.000 0.741
Se 0.259 0.500 0.263
Se 0.741 0.500 0.737
Se 0.749 0.000 0.259

=====

Computed, not measured: a relaxed structure of Pr4Dy3PuSe8 at the PBE level of DFT.

Summary:
- SG = R-3m
- E_tot (eV/atom) = -6.477

Cell: 8.412 8.412 8.412 Å, 59.18 59.18 59.18°
Fractional positions:
Pr 0.000 0.000 0.000
Pr 0.000 0.500 0.500
Pr 0.500 0.000 0.500
Pr 0.500 0.500 0.000
Dy 0.000 0.000 0.500
Dy 0.000 0.500 0.000
Dy 0.500 0.000 0.000
Pu 0.500 0.500 0.500
Se 0.242 0.746 0.746
Se 0.244 0.244 0.244
Se 0.254 0.254 0.758
Se 0.254 0.758 0.254
Se 0.746 0.242 0.746
Se 0.746 0.746 0.242
Se 0.756 0.756 0.756
Se 0.758 0.254 0.254

=====

Computed, not measured: a relaxed structure of Pr3Sm2Dy6Pu at the PBE level of DFT.

Summary:
- energy of formation from the pure elements (eV/atom) = 0.044
- SG = C2/m

Cell: 6.231 6.231 11.789 Å, 95.06 95.06 120.04°
Fractional positions:
Pr 0.000 0.000 0.000
Pr 0.333 0.667 0.000
Pr 0.667 0.333 0.000
Sm 0.167 0.833 0.500
Sm 0.833 0.167 0.500
Dy 0.090 0.418 0.255
Dy 0.253 0.253 0.745
Dy 0.418 0.090 0.255
Dy 0.582 0.910 0.745
Dy 0.747 0.747 0.255
Dy 0.910 0.582 0.745
Pu 0.500 0.500 0.500

=====

Computed values of Fermi-level density of states (unit: states/eV/f.u.) for the preceding records, in sequence: 28.1, 16.3, 28.3, 25.7, 12.4, 16.9, 23.0, 35.2, 18.5, 16.3, 17.4, 14.0, 13.1, 8.6, 8.4, 25.4, 11.0, 9.8, 14.8, 22.6.